Entry 1:
Below is a geometry-optimized RbGaF2 structure, with properties calculated at the PBE level.

Lattice parameters (Å, degrees): 7.7339 7.7339 7.7339 30.09 30.09 30.09
Last column: nearest neighbours and their distance in Å.
Fractional positions:
1 Rb 0.0000 0.0000 0.0000  6 F 2.81
2 Ga 0.5000 0.5000 0.5000  2 F 2.10
3 F 0.4053 0.4053 0.4053  1 Ga 2.10
4 F 0.5947 0.5947 0.5947  1 Ga 2.10

Values from the calculation:
**Uncorrected formation energy**: -2.025 eV/atom
**Density of states at the Fermi level**: 0.00 states/eV/atom
**Energy relative to the lowest polymorph listed for this composition**: 1 meV per atom
**SG**: R-3m, No. 166



Entry 2:
Below is a geometry-optimized Ho6Ga2Os structure, with properties calculated at the PBE level.

Lattice parameters (Å, degrees): 8.4123 8.4123 8.4123 146.01 131.05 60.93
Last column: nearest neighbours and their distance in Å.
Fractional positions:
1 Ho 0.0855 0.3409 0.7445  1 Os 2.87, 3 Ga 3.04
2 Ho 0.2352 0.0000 0.2352  2 Os 2.96, 2 Ga 3.05, 1 Ho 3.28
3 Ho 0.4036 0.6591 0.7445  1 Os 2.87, 3 Ga 3.04
4 Ho 0.5964 0.3409 0.2555  1 Os 2.87, 3 Ga 3.04
5 Ho 0.7648 0.0000 0.7648  2 Os 2.96, 2 Ga 3.05, 1 Ho 3.28
6 Ho 0.9145 0.6591 0.2555  1 Os 2.87, 3 Ga 3.04
7 Ga 0.3325 0.8325 0.5000  8 Ho 3.04-3.05
8 Ga 0.6675 0.1675 0.5000  8 Ho 3.04-3.05
9 Os 0.0000 0.5000 0.5000  8 Ho 2.87-2.96

Values from the calculation:
**ΔE_f**: -0.260 eV/atom
**Density of states at the Fermi level**: 0.94 states/eV/atom
**SG**: Immm, No. 71



Entry 3:
Below is a geometry-optimized HoUIn2Te4 structure, with properties calculated at the PBE level.

Lattice parameters (Å, degrees): 7.5973 4.3779 8.5868 90.00 107.04 90.00
Last column: nearest neighbours and their distance in Å.
Fractional positions:
1 Ho 0.0000 0.0000 0.0000  6 Te 3.09-3.10
2 U 0.5000 0.5000 0.0000  6 Te 3.12
3 In 0.0000 0.5000 0.5000  6 Te 3.40
4 In 0.5000 0.0000 0.5000  6 Te 3.43
5 Te 0.2362 0.5000 0.2189  2 Ho 3.09, 1 U 3.12, 3 In 3.40-3.43
6 Te 0.2568 0.0000 0.7788  1 Ho 3.10, 2 U 3.12, 3 In 3.40-3.43
7 Te 0.7432 0.0000 0.2212  1 Ho 3.10, 2 U 3.12, 3 In 3.40-3.43
8 Te 0.7638 0.5000 0.7811  2 Ho 3.09, 1 U 3.12, 3 In 3.40-3.43

Values from the calculation:
**Uncorrected formation energy**: -0.687 eV/atom
**Density of states at the Fermi level**: 1.10 states/eV/atom
**SG**: P2/m, No. 10



Number 1: total magnetization 0.0 μB/cell. Number 2: total magnetization 0.0 μB/cell. Number 3: total magnetization 3.0 μB/cell.